Entry 1:
A plane-wave DFT calculation with PBEsol was carried out for a relaxed Mg2CCl crystal.

Results
Theoretical density, Mg/m³: 2.8
Size of the total moment, Bohr magnetons per cell: 1.0
Symmetry: No. 225

The structure in POSCAR format:
```
Mg2CCl
1.0
-3.995 -0.061 -1.703
-3.039 -2.605 1.685
-3.330 1.696 2.213
Mg Cl C
2 1 1
Cartesian
-2.591 -0.242 0.549 Mg
-7.773 -0.727 1.647 Mg
-5.182 -0.485 1.098 Cl
0.000 0.000 0.000 C
```

---

Entry 2:
A plane-wave DFT calculation with PBEsol was carried out for a relaxed MgPCCl2 crystal.

Results
Theoretical density, Mg/m³: 2.0
Size of the total moment, Bohr magnetons per cell: 0.6
Symmetry: No. 123

The structure in POSCAR format:
```
MgPCCl2
1.0
4.570 0.000 0.000
0.000 4.570 0.000
0.000 0.000 5.612
Mg P Cl C
1 1 2 1
Cartesian
0.000 0.000 0.000 Mg
0.000 0.000 2.806 P
2.285 0.000 0.000 Cl
0.000 2.285 0.000 Cl
2.285 2.285 2.806 C
```

---

Entry 3:
A plane-wave DFT calculation with PBEsol was carried out for a relaxed Mg2WCCl crystal.

Results
Theoretical density, Mg/m³: 3.7
Size of the total moment, Bohr magnetons per cell: 1.5
Symmetry: No. 123

The structure in POSCAR format:
```
Mg2WCCl
1.0
4.387 0.000 0.000
0.000 5.318 0.000
0.000 0.000 5.318
C Mg Cl W
1 2 1 1
Cartesian
2.193 2.659 2.659 C
0.000 2.659 0.000 Mg
0.000 0.000 2.659 Mg
2.193 0.000 0.000 Cl
0.000 0.000 0.000 W
```

---

Entry 4:
A plane-wave DFT calculation with PBEsol was carried out for a relaxed MnTeCCl2 crystal.

Results
Theoretical density, Mg/m³: 4.8
Size of the total moment, Bohr magnetons per cell: 4.9
Symmetry: No. 123

The structure in POSCAR format:
```
MnTeCCl2
1.0
4.329 0.000 0.000
0.000 4.329 0.000
0.000 0.000 4.882
Mn Cl Te C
1 2 1 1
Cartesian
2.165 2.165 2.441 Mn
0.000 2.165 0.000 Cl
2.165 0.000 0.000 Cl
0.000 0.000 2.441 Te
0.000 0.000 0.000 C
```

---

Entry 5:
A plane-wave DFT calculation with PBEsol was carried out for a relaxed Mo2CCl crystal.

Results
Theoretical density, Mg/m³: 8.6
Size of the total moment, Bohr magnetons per cell: 0.0
Symmetry: No. 225

The structure in POSCAR format:
```
Mo2CCl
1.0
4.032 0.000 0.000
2.016 3.492 0.000
2.016 1.164 3.292
C Cl Mo
1 1 2
Cartesian
0.000 0.000 0.000 C
4.032 2.328 1.646 Cl
2.016 1.164 0.823 Mo
6.049 3.492 2.469 Mo
```

---

Entry 6:
A plane-wave DFT calculation with PBEsol was carried out for a relaxed MoC2SeCl crystal.

Results
Theoretical density, Mg/m³: 6.1
Size of the total moment, Bohr magnetons per cell: 0.0
Symmetry: No. 123

The structure in POSCAR format:
```
MoC2SeCl
1.0
-2.011 2.275 2.113
-3.019 -2.021 -0.697
0.922 -2.672 3.754
C Cl Se Mo
2 1 1 1
Cartesian
-1.005 1.137 1.056 C
-1.509 -1.010 -0.348 C
0.000 0.000 0.000 Cl
0.461 -1.336 1.877 Se
-2.054 -1.209 2.585 Mo
```

---

Entry 7:
A plane-wave DFT calculation with PBEsol was carried out for a relaxed TiMo2CCl crystal.

Results
Theoretical density, Mg/m³: 6.0
Size of the total moment, Bohr magnetons per cell: 0.0
Symmetry: No. 123

The structure in POSCAR format:
```
TiMo2CCl
1.0
4.289 0.000 0.000
0.000 4.288 0.000
0.000 0.000 4.288
C Cl Mo Ti
1 1 2 1
Cartesian
2.144 2.144 2.144 C
0.000 0.000 0.000 Cl
0.000 2.144 0.000 Mo
0.000 0.000 2.144 Mo
2.144 0.000 0.000 Ti
```

---

Entry 8:
A plane-wave DFT calculation with PBEsol was carried out for a relaxed NbC2NCl8 crystal.

Results
Theoretical density, Mg/m³: 2.2
Size of the total moment, Bohr magnetons per cell: 0.0
Symmetry: No. 36

The structure in POSCAR format:
```
NbC2NCl8
1.0
-2.812 4.168 -3.643
-4.037 -4.617 -0.968
-9.063 5.208 12.956
Cl N C Nb
16 2 4 2
Cartesian
-8.704 0.008 5.514 Cl
-13.756 5.378 7.688 Cl
-6.457 1.415 -2.096 Cl
-9.505 0.761 1.823 Cl
-8.131 3.237 4.349 Cl
-2.637 1.665 0.476 Cl
-10.427 7.492 7.345 Cl
-9.315 5.668 10.678 Cl
-6.849 -1.950 2.949 Cl
-11.278 1.946 5.013 Cl
-5.064 1.052 4.813 Cl
-5.661 0.482 0.947 Cl
-10.043 4.157 7.099 Cl
-3.795 -0.768 -1.702 Cl
-3.449 2.591 -2.543 Cl
-7.457 2.196 7.585 Cl
-10.340 1.250 7.824 N
-5.163 3.274 -0.063 N
-6.118 5.389 1.149 C
-11.699 0.464 9.919 C
-10.936 0.877 8.746 C
-5.575 4.226 0.455 C
-4.459 1.257 -0.913 Nb
-9.220 2.219 6.065 Nb
```

---

Entry 9:
A plane-wave DFT calculation with PBEsol was carried out for a relaxed SbCNCl4O crystal.

Results
Theoretical density, Mg/m³: 2.4
Size of the total moment, Bohr magnetons per cell: 0.0
Symmetry: No. 176

The structure in POSCAR format:
```
SbCNCl4O
1.0
-0.635 -2.708 10.076
9.655 -6.614 -1.170
0.956 11.306 3.099
Cl Sb C O N
24 6 6 6 6
Cartesian
5.143 6.022 4.654 Cl
5.759 -0.758 8.292 Cl
6.644 -3.885 -0.331 Cl
1.731 5.203 4.219 Cl
3.947 0.995 0.811 Cl
1.152 8.731 5.131 Cl
9.342 -0.461 5.592 Cl
4.834 -4.039 7.352 Cl
3.334 5.868 12.337 Cl
1.358 0.541 2.942 Cl
8.826 -6.748 6.875 Cl
1.394 -2.710 7.492 Cl
0.635 2.444 6.413 Cl
9.625 0.746 1.101 Cl
3.617 7.075 7.846 Cl
6.313 2.195 6.704 Cl
8.583 4.694 4.513 Cl
4.218 2.741 3.713 Cl
0.352 1.237 10.904 Cl
3.664 -0.212 5.301 Cl
8.619 1.442 9.063 Cl
6.031 0.988 11.195 Cl
8.246 -3.220 7.787 Cl
6.361 -5.092 4.159 Cl
9.708 0.164 3.366 Sb
6.413 -4.687 1.855 Sb
3.565 6.670 10.150 Sb
3.671 0.569 3.095 Sb
6.306 1.414 8.910 Sb
0.270 1.819 8.639 Sb
5.265 -1.488 2.642 C
2.543 4.335 9.458 C
7.092 -0.114 3.127 C
4.712 3.472 9.363 C
7.435 -2.352 2.547 C
2.886 2.097 8.878 C
7.675 0.972 3.456 O
3.993 -1.527 2.552 O
8.123 -3.399 2.309 O
5.984 3.510 9.453 O
2.302 1.011 8.550 O
1.854 5.382 9.696 O
4.210 2.253 9.004 N
6.085 -2.522 2.416 N
2.039 3.145 9.107 N
3.892 4.506 9.589 N
7.938 -1.162 2.899 N
5.768 -0.270 3.002 N
```

---

Entry 10:
A plane-wave DFT calculation with PBEsol was carried out for a relaxed PbCSNCl crystal.

Results
Theoretical density, Mg/m³: 4.9
Size of the total moment, Bohr magnetons per cell: 0.0
Symmetry: No. 62

The structure in POSCAR format:
```
PbCSNCl
1.0
4.151 0.000 0.000
0.000 9.736 0.000
0.000 0.000 10.008
Cl S N C Pb
4 4 4 4 4
Cartesian
1.038 8.719 0.972 Cl
3.114 3.851 4.031 Cl
3.114 1.017 9.035 Cl
1.038 5.885 5.976 Cl
3.114 6.731 8.638 S
1.038 1.863 6.373 S
3.114 7.873 3.634 S
1.038 3.005 1.370 S
3.114 8.734 6.314 N
1.038 1.002 3.693 N
1.038 3.866 8.697 N
3.114 5.870 1.311 N
1.038 1.375 4.821 C
3.114 8.361 5.187 C
3.114 6.243 0.183 C
1.038 3.493 9.825 C
3.114 0.734 1.946 Pb
1.038 5.602 3.058 Pb
1.038 9.002 8.062 Pb
3.114 4.134 6.950 Pb
```

---

Entry 11:
A plane-wave DFT calculation with PBEsol was carried out for a relaxed SbCNCl6 crystal.

Results
Theoretical density, Mg/m³: 2.4
Size of the total moment, Bohr magnetons per cell: 0.0
Symmetry: No. 62

The structure in POSCAR format:
```
SbCNCl6
1.0
7.878 0.000 0.000
0.000 9.639 0.000
0.000 0.000 12.899
Cl N Sb C
24 4 4 4
Cartesian
1.675 4.070 0.432 Cl
7.259 5.568 8.909 Cl
3.687 2.410 4.195 Cl
7.626 7.229 2.255 Cl
0.619 0.749 3.990 Cl
3.320 4.071 10.440 Cl
5.333 2.410 8.077 Cl
1.675 0.750 0.432 Cl
0.619 4.071 3.990 Cl
5.614 8.889 6.017 Cl
4.192 7.229 8.705 Cl
3.320 0.749 10.440 Cl
2.264 4.070 6.882 Cl
7.259 8.890 8.909 Cl
5.614 5.569 6.017 Cl
6.203 8.889 12.467 Cl
6.203 5.569 12.467 Cl
6.484 2.410 1.628 Cl
4.558 8.890 2.460 Cl
0.253 2.410 10.644 Cl
2.264 0.750 6.882 Cl
4.558 5.568 2.460 Cl
1.394 7.229 11.272 Cl
2.545 7.229 4.822 Cl
3.625 7.229 12.881 N
4.254 2.410 0.018 N
7.564 2.410 6.468 N
0.314 7.229 6.432 N
2.313 2.410 11.786 Sb
6.252 7.229 7.563 Sb
5.566 7.229 1.113 Sb
1.626 2.410 5.337 Sb
2.681 7.229 12.199 C
5.198 2.410 0.701 C
1.258 7.229 5.749 C
6.620 2.410 7.150 C
```

---

Entry 12:
A plane-wave DFT calculation with PBEsol was carried out for a relaxed NaScC2Cl crystal.

Results
Theoretical density, Mg/m³: 2.7
Size of the total moment, Bohr magnetons per cell: 0.6
Symmetry: No. 123

The structure in POSCAR format:
```
NaScC2Cl
1.0
4.152 0.000 0.000
0.000 4.152 0.000
0.000 0.000 4.590
C Cl Na Sc
2 1 1 1
Cartesian
0.000 2.076 0.000 C
2.076 0.000 0.000 C
0.000 0.000 2.295 Cl
0.000 0.000 0.000 Na
2.076 2.076 2.295 Sc
```

---

Entry 13:
A plane-wave DFT calculation with PBEsol was carried out for a relaxed Na2TiCCl crystal.

Results
Theoretical density, Mg/m³: 1.8
Size of the total moment, Bohr magnetons per cell: 1.5
Symmetry: No. 123

The structure in POSCAR format:
```
Na2TiCCl
1.0
-2.652 -2.035 -1.680
4.160 -3.830 -1.929
-0.671 -3.236 4.978
Na Cl Ti C
2 1 1 1
Cartesian
-0.335 -1.618 2.489 Na
2.080 -1.915 -0.965 Na
0.419 -4.550 0.684 Cl
0.000 0.000 0.000 Ti
-1.326 -1.017 -0.840 C
```

---

Entry 14:
A plane-wave DFT calculation with PBEsol was carried out for a relaxed NiCCl3 crystal.

Results
Relative energy among the computed polymorphs, eV per atom: 0.0000
Theoretical density, Mg/m³: 3.3
Size of the total moment, Bohr magnetons per cell: 0.9
Symmetry: No. 221

The structure in POSCAR format:
```
NiCCl3
1.0
-1.556 3.797 1.768
-3.547 -0.192 -2.711
-2.228 -2.347 3.081
C Cl Ni
1 3 1
Cartesian
-3.665 0.629 1.069 C
-1.114 -1.174 1.540 Cl
-1.773 -0.096 -1.355 Cl
-0.778 1.898 0.884 Cl
0.000 0.000 0.000 Ni
```

---

Entry 15:
A plane-wave DFT calculation with PBEsol was carried out for a relaxed NiCCl3 crystal.

Results
Relative energy among the computed polymorphs, eV per atom: 0.0178
Theoretical density, Mg/m³: 3.8
Size of the total moment, Bohr magnetons per cell: 1.1
Symmetry: No. 221

The structure in POSCAR format:
```
NiCCl3
1.0
4.262 0.000 0.000
0.000 4.262 0.000
0.000 0.000 4.262
Cl Ni C
3 1 1
Cartesian
0.000 2.131 0.000 Cl
0.000 0.000 2.131 Cl
2.131 0.000 0.000 Cl
2.131 2.131 2.131 Ni
0.000 0.000 0.000 C
```

---

Entry 16:
A plane-wave DFT calculation with PBEsol was carried out for a relaxed NiP2CCl crystal.

Results
Theoretical density, Mg/m³: 4.3
Size of the total moment, Bohr magnetons per cell: 0.0
Symmetry: No. 123

The structure in POSCAR format:
```
NiP2CCl
1.0
3.920 0.000 0.000
0.000 3.920 0.000
0.000 0.000 4.209
Ni P Cl C
1 2 1 1
Cartesian
1.960 1.960 2.104 Ni
1.960 0.000 0.000 P
0.000 1.960 0.000 P
0.000 0.000 2.104 Cl
0.000 0.000 0.000 C
```

---

Entry 17:
A plane-wave DFT calculation with PBEsol was carried out for a relaxed NiPtCCl2 crystal.

Results
Theoretical density, Mg/m³: 7.3
Size of the total moment, Bohr magnetons per cell: 0.0
Symmetry: No. 123

The structure in POSCAR format:
```
NiPtCCl2
1.0
-3.387 0.136 -0.753
0.822 -2.158 -4.083
-0.627 -4.161 2.072
Cl Ni Pt C
2 1 1 1
Cartesian
0.411 -1.079 -2.041 Cl
-0.314 -2.080 1.036 Cl
0.000 0.000 0.000 Ni
-1.596 -3.091 -1.382 Pt
-1.694 0.068 -0.377 C
```

---

Entry 18:
A plane-wave DFT calculation with PBEsol was carried out for a relaxed NiSnCCl2 crystal.

Results
Theoretical density, Mg/m³: 3.2
Size of the total moment, Bohr magnetons per cell: 0.9
Symmetry: No. 123

The structure in POSCAR format:
```
NiSnCCl2
1.0
-1.321 -4.402 -1.885
2.823 0.968 -4.238
4.123 -2.199 2.244
Ni C Cl Sn
1 1 2 1
Cartesian
-0.660 -2.201 -0.943 Ni
2.813 -2.816 -1.940 C
2.062 -1.099 1.122 Cl
1.412 0.484 -2.119 Cl
0.000 0.000 0.000 Sn
```

---

Entry 19:
A plane-wave DFT calculation with PBEsol was carried out for a relaxed Pb2CCl2O3 crystal.

Results
Relative energy among the computed polymorphs, eV per atom: 0.0000
Theoretical density, Mg/m³: 6.3
Size of the total moment, Bohr magnetons per cell: 0.0
Symmetry: No. 127

The structure in POSCAR format:
```
Pb2CCl2O3
1.0
8.067 0.000 0.000
0.000 8.067 0.000
0.000 0.000 8.859
Cl O Pb C
8 12 8 4
Cartesian
4.034 4.034 2.200 Cl
6.886 5.215 4.430 Cl
5.215 1.181 4.430 Cl
1.181 2.853 4.430 Cl
0.000 0.000 2.200 Cl
2.853 6.886 4.430 Cl
0.000 0.000 6.659 Cl
4.034 4.034 6.659 Cl
1.031 3.003 7.709 O
5.065 1.031 7.709 O
5.700 6.401 0.000 O
3.003 7.037 7.709 O
5.065 1.031 1.150 O
1.031 3.003 1.150 O
1.667 5.700 0.000 O
2.367 1.667 0.000 O
6.401 2.367 0.000 O
3.003 7.037 1.150 O
7.037 5.065 7.709 O
7.037 5.065 1.150 O
2.700 1.334 6.538 Pb
5.367 6.734 6.538 Pb
5.367 6.734 2.321 Pb
1.334 5.367 2.321 Pb
6.734 2.700 6.538 Pb
1.334 5.367 6.538 Pb
6.734 2.700 2.321 Pb
2.700 1.334 2.321 Pb
1.442 2.592 0.000 C
2.592 6.625 0.000 C
6.625 5.476 0.000 C
5.476 1.442 0.000 C
```

---

Entry 20:
A plane-wave DFT calculation with PBEsol was carried out for a relaxed Pb2CCl2O3 crystal.

Results
Relative energy among the computed polymorphs, eV per atom: 0.0393
Theoretical density, Mg/m³: 5.8
Size of the total moment, Bohr magnetons per cell: 0.0
Symmetry: No. 1

The structure in POSCAR format:
```
Pb2CCl2O3
1.0
-1.064 5.711 5.776
3.479 -5.654 5.679
8.223 2.708 -1.464
O C Pb Cl
12 4 8 8
Cartesian
3.507 1.137 6.721 O
5.059 -0.874 4.033 O
1.500 2.072 6.482 O
8.476 2.800 2.858 O
6.159 3.625 5.870 O
7.556 3.470 7.643 O
2.953 -0.532 3.517 O
5.346 3.164 7.882 O
7.058 1.055 2.972 O
4.501 -0.205 1.925 O
1.666 -0.128 6.960 O
9.168 0.723 3.485 O
8.261 1.547 3.095 C
6.388 3.398 7.124 C
2.212 1.024 6.744 C
4.210 -0.518 3.143 C
1.513 1.011 2.427 Pb
3.664 3.550 5.941 Pb
7.441 -1.051 4.172 Pb
5.634 1.854 1.180 Pb
7.527 4.765 4.206 Pb
4.975 0.884 8.836 Pb
9.181 1.724 7.617 Pb
3.186 -1.760 5.622 Pb
3.962 2.617 3.303 Cl
6.872 0.451 6.541 Cl
6.322 -3.445 5.676 Cl
0.673 3.807 3.674 Cl
2.368 1.516 9.817 Cl
4.338 6.077 4.338 Cl
10.075 -1.000 6.217 Cl
8.446 1.486 -0.169 Cl
```

---

Calculated D(E_F) (states/eV/cell), listed in the same order as above: 2.6; 4.1; 3.1; 1.5; 3.3; 3.4; 5.0; 0.0; 0.0; 0.0; 0.0; 4.2; 3.3; 3.2; 9.2; 3.1; 4.8; 6.7; 0.0; 0.0
Calculated formation energy without anion corrections (kJ/mol of atoms), listed in the same order as above: 48.5; 121.0; 190.5; 85.2; 82.5; 260.2; 177.9; -52.4; -61.6; -25.2; -32.1; 181.1; 52.3; 112.9; 114.6; 121.9; 108.8; 161.2; -125.1; -121.3